(1)
AcPr7Tl2 (PBE, optimized geometry); space group = Cmmm, No. 65; ΔH_f (0 K) = 0.2927 eV per atom; crystal system = orthorhombic
1.0
5.7116 0.0000 0.0000
0.0000 9.2882 -0.2360
0.0000 -4.3093 8.2315
Pr Tl Ac
7 2 1
Cartesian
2.8558 2.4092 7.5923
2.8558 2.5697 0.4032
2.8558 2.4895 3.9977
2.8558 -0.7718 2.4840
2.8558 5.7507 5.5114
0.0000 6.1134 1.7410
0.0000 -1.1344 6.2544
2.8558 -0.1588 5.6469
2.8558 5.1377 2.3486
0.0000 0.0000 0.0000

(2)
BeRhCl2 (PBE, optimized geometry); E_form (uncorrected) = 0.509 eV/atom; space group = Fm-3m, No. 225; ΔE to the lowest computed polymorph = 0.892 eV/atom; crystal system = cubic
1.0
0.0000 3.1263 3.1263
3.1263 0.0000 3.1263
3.1263 3.1263 0.0000
Cl Be Rh
2 1 1
Cartesian
4.6894 4.6894 4.6894
1.5631 1.5631 1.5631
0.0000 0.0000 0.0000
3.1263 3.1263 3.1263

Number 1: calculated volume 431 Å³ per cell. Number 2: calculated volume 61 Å³ per cell.